# 1
The following is a DFT calculation (GGA-PBE) of BaIrSN2 after structural relaxation.

```
BaIrSN2
1.0
4.478 0.000 0.000
0.000 4.346 0.000
0.000 0.000 4.478
S Ir Ba N
1 1 1 2
direct
0.000 0.000 0.000
0.000 0.500 0.000
0.500 0.500 0.500
0.000 0.000 0.500
0.500 0.000 0.000
```

Computed properties:
Volume = 17.43 A^3/atom
Raw formation energy = 1155.6 meV per atom

# 2
The following is a DFT calculation (GGA-PBE) of HgAuI6 after structural relaxation.

```
HgAuI6
1.0
8.659 -1.843 -0.003
2.468 7.475 -1.900
3.987 0.197 6.445
Hg Au I
1 1 6
direct
0.500 0.500 0.500
0.000 0.000 0.000
0.181 0.476 0.572
0.885 0.013 0.723
0.648 0.036 0.236
0.115 0.987 0.277
0.819 0.524 0.428
0.352 0.964 0.764
```

Computed properties:
Volume = 57.97 A^3/atom
Raw formation energy = -80.8 meV per atom

> Among the records above, which one has the highest volume?

HgAuI6

> The lowest raw formation energy belongs to which entry?

HgAuI6

> Which of these has the lowest raw formation energy?

HgAuI6